Compound: CePrSm2Er5
Source: the Alexandria database
Functional: PBE-GGA
Structure: optimized geometry

Cell lengths 8.6950, 8.6950, 9.8172 Å; angles 116.29, 116.29, 90.00 degrees
Last column: nearest neighbours and their distance in Å.
Atoms (fractional coordinates):
Er1 0.6597 0.1597 0.7262  1 Sm 3.03, 1 Ce 3.04
Er2 0.1597 0.0665 0.7262  1 Sm 3.03, 1 Ce 3.04
Er3 0.3403 0.8403 0.2738  1 Sm 3.03, 1 Ce 3.04
Er4 0.4335 0.3403 0.2738  1 Sm 3.03, 1 Ce 3.04
Er5 0.9335 0.4335 0.2738  1 Sm 3.03, 1 Ce 3.04
Er6 0.5000 0.5000 0.0000  4 Sm 3.47, 8 Er 3.76, 2 Pr 3.83
Er7 0.8403 0.9335 0.2738  1 Sm 3.03, 1 Ce 3.04
Er8 0.0000 0.0000 0.0000  4 Sm 3.47, 8 Er 3.76, 2 Pr 3.83
Er9 0.0665 0.5665 0.7262  1 Sm 3.03, 1 Ce 3.04
Er10 0.5665 0.6597 0.7262  1 Sm 3.03, 1 Ce 3.04
Pr1 0.7500 0.7500 0.5000  10 Er 3.57-3.83
Pr2 0.2500 0.2500 0.5000  10 Er 3.57-3.83
Sm1 0.3816 0.8816 0.0000  1 Sm 2.91, 2 Er 3.03
Sm2 0.6184 0.1184 0.0000  1 Sm 2.91, 2 Er 3.03
Sm3 0.1184 0.3816 0.0000  1 Sm 2.91, 2 Er 3.03
Sm4 0.8816 0.6184 0.0000  1 Sm 2.91, 2 Er 3.03
Ce1 0.7500 0.2500 0.5000  4 Er 3.04
Ce2 0.2500 0.7500 0.5000  4 Er 3.04

Properties
Space group ... I4/mcm
Total moment ... 2.01 Bohr magnetons per cell
Calculated formation energy ... 0.269 eV per atom

Compound: Ce2PrSm3Er6
Source: the Alexandria database
Functional: PBE-GGA
Structure: optimized geometry

Cell lengths 6.1680, 6.1680, 11.6956 Å; angles 95.04, 95.04, 120.00 degrees
Last column: nearest neighbours and their distance in Å.
Atoms (fractional coordinates):
Er1 0.0831 0.4190 0.2485  2 Ce 3.52, 1 Pr 3.53, 3 Sm 3.55-3.56, 6 Er 3.55-3.59
Er2 0.9169 0.5810 0.7515  2 Ce 3.52, 1 Pr 3.53, 3 Sm 3.55-3.56, 6 Er 3.55-3.59
Er3 0.7472 0.7472 0.2485  2 Ce 3.52, 1 Pr 3.53, 3 Sm 3.54-3.55, 6 Er 3.55-3.59
Er4 0.2528 0.2528 0.7515  2 Ce 3.52, 1 Pr 3.53, 3 Sm 3.54-3.55, 6 Er 3.55-3.59
Er5 0.5810 0.9169 0.7515  2 Ce 3.52, 1 Pr 3.53, 3 Sm 3.55-3.56, 6 Er 3.55-3.59
Er6 0.4190 0.0831 0.2485  2 Ce 3.52, 1 Pr 3.53, 3 Sm 3.55-3.56, 6 Er 3.55-3.59
Pr1 0.0000 0.0000 0.0000  6 Er 3.53, 6 Ce 3.56
Sm1 0.8339 0.1661 0.5000  6 Er 3.55-3.56, 6 Sm 3.55-3.57
Sm2 0.5000 0.5000 0.5000  6 Er 3.54-3.56, 6 Sm 3.56-3.57
Sm3 0.1661 0.8339 0.5000  6 Er 3.55-3.56, 6 Sm 3.55-3.57
Ce1 0.6667 0.3333 0.0000  6 Er 3.52, 3 Pr 3.56, 3 Ce 3.56
Ce2 0.3333 0.6667 0.0000  6 Er 3.52, 3 Pr 3.56, 3 Ce 3.56

Properties
Space group ... C2/m
Total moment ... 1.87 Bohr magnetons per cell
Calculated formation energy ... 0.048 eV per atom

Compound: CePrSm2Er
Source: the Alexandria database
Functional: PBE-GGA
Structure: optimized geometry

Cell lengths 6.3702, 8.4798, 6.2106 Å; angles 92.62, 90.00, 90.00 degrees
Last column: nearest neighbours and their distance in Å.
Atoms (fractional coordinates):
Sm1 0.6901 0.3095 0.7361  1 Ce 3.02, 1 Sm 3.23
Sm2 0.3099 0.3095 0.2361  1 Ce 3.02, 1 Sm 3.23
Sm3 0.3099 0.6905 0.2639  1 Ce 3.02, 1 Sm 3.23
Sm4 0.6901 0.6905 0.7639  1 Ce 3.02, 1 Sm 3.23
Ce1 0.5440 0.0000 0.2500  2 Sm 3.02, 2 Ce 3.16, 2 Pr 3.29
Ce2 0.4560 0.0000 0.7500  2 Sm 3.02, 2 Ce 3.16, 2 Pr 3.29
Er1 0.8270 0.5000 0.2500  8 Sm 3.47-3.67, 2 Er 3.81
Er2 0.1730 0.5000 0.7500  8 Sm 3.47-3.67, 2 Er 3.81
Pr1 0.0000 0.0000 0.0000  2 Pr 3.11, 2 Ce 3.29
Pr2 0.0000 0.0000 0.5000  2 Pr 3.11, 2 Ce 3.29

Properties
Space group ... P2/c
Total moment ... 1.51 Bohr magnetons per cell
Calculated formation energy ... 0.280 eV per atom

Compound: Tb2CePr2Er2
Source: the Alexandria database
Functional: PBE-GGA
Structure: optimized geometry

Cell lengths 3.4961, 14.4079, 5.6581 Å; angles 126.08, 90.00, 96.97 degrees
Last column: nearest neighbours and their distance in Å.
Atoms (fractional coordinates):
Tb1 0.2086 0.4172 0.6256  5 Pr 3.45-3.67, 6 Tb 3.50-3.83, 2 Er 3.63
Tb2 0.7914 0.5828 0.3744  5 Pr 3.45-3.67, 6 Tb 3.50-3.83, 2 Er 3.63
Er1 0.4296 0.8592 0.7890  3 Er 3.24-3.50, 2 Pr 3.27, 2 Tb 3.63
Er2 0.5704 0.1408 0.2110  3 Er 3.24-3.50, 2 Pr 3.27, 2 Tb 3.63
Pr1 0.3586 0.7172 0.0761  2 Er 3.27, 1 Tb 3.45, 2 Pr 3.50
Pr2 0.6414 0.2828 0.9239  2 Er 3.27, 1 Tb 3.45, 2 Pr 3.50
Ce1 0.0000 0.0000 0.5000  2 Ce 3.50, 4 Pr 3.69, 8 Er 3.70

Properties
Space group ... Immm
Total moment ... 0.61 Bohr magnetons per cell
Calculated formation energy ... 0.081 eV per atom

Compound: Tb6Ce2Pr3Er
Source: the Alexandria database
Functional: PBE-GGA
Structure: optimized geometry

Cell lengths 6.2160, 6.2160, 11.8462 Å; angles 95.01, 95.01, 120.00 degrees
Last column: nearest neighbours and their distance in Å.
Atoms (fractional coordinates):
Tb1 0.9183 0.5829 0.7556  2 Ce 3.52, 1 Er 3.53, 6 Tb 3.58-3.61, 3 Pr 3.63-3.64
Tb2 0.4171 0.0817 0.2444  2 Ce 3.52, 1 Er 3.53, 6 Tb 3.58-3.61, 3 Pr 3.63-3.64
Tb3 0.0817 0.4171 0.2444  2 Ce 3.52, 1 Er 3.53, 6 Tb 3.58-3.61, 3 Pr 3.63-3.64
Tb4 0.7462 0.7462 0.2445  2 Ce 3.52, 1 Er 3.53, 6 Tb 3.58-3.61, 3 Pr 3.62-3.63
Tb5 0.2538 0.2538 0.7555  2 Ce 3.52, 1 Er 3.53, 6 Tb 3.58-3.61, 3 Pr 3.62-3.63
Tb6 0.5829 0.9183 0.7556  2 Ce 3.52, 1 Er 3.53, 6 Tb 3.58-3.61, 3 Pr 3.63-3.64
Ce1 0.6664 0.3336 0.0000  6 Tb 3.52, 3 Ce 3.58-3.59, 3 Er 3.59
Ce2 0.3336 0.6664 0.0000  6 Tb 3.52, 3 Ce 3.58-3.59, 3 Er 3.59
Pr1 0.1661 0.8339 0.5000  6 Pr 3.58-3.60, 6 Tb 3.63-3.64
Pr2 0.8339 0.1661 0.5000  6 Pr 3.58-3.60, 6 Tb 3.63-3.64
Pr3 0.5000 0.5000 0.5000  6 Pr 3.59, 6 Tb 3.62-3.63
Er1 0.0000 0.0000 0.0000  6 Tb 3.53, 6 Ce 3.59

Properties
Space group ... C2/m
Total moment ... 1.99 Bohr magnetons per cell
Calculated formation energy ... 0.047 eV per atom

Compound: TbCePr6Er2
Source: the Alexandria database
Functional: PBE-GGA
Structure: optimized geometry

Cell lengths 8.8968, 7.1361, 6.6741 Å; angles 122.32, 100.76, 90.00 degrees
Last column: nearest neighbours and their distance in Å.
Atoms (fractional coordinates):
Pr1 0.5795 0.3700 0.7399  5 Pr 3.53-3.80, 1 Ce 3.70
Pr2 0.7972 0.9377 0.3403  2 Er 3.24-3.49, 1 Pr 3.32, 1 Tb 3.34, 1 Ce 3.48
Pr3 0.2028 0.5974 0.6597  2 Er 3.24-3.49, 1 Pr 3.32, 1 Tb 3.34, 1 Ce 3.48
Pr4 0.7972 0.4026 0.3403  2 Er 3.24-3.49, 1 Pr 3.32, 1 Tb 3.34, 1 Ce 3.48
Pr5 0.4205 0.6300 0.2601  5 Pr 3.53-3.80, 1 Ce 3.70
Pr6 0.2028 0.0623 0.6597  2 Er 3.24-3.49, 1 Pr 3.32, 1 Tb 3.34, 1 Ce 3.48
Er1 0.8395 0.9071 0.8142  1 Er 3.15, 4 Pr 3.24-3.49, 1 Tb 3.41
Er2 0.1605 0.0929 0.1858  1 Er 3.15, 4 Pr 3.24-3.49, 1 Tb 3.41
Tb1 0.5000 0.0000 0.0000  4 Pr 3.34, 2 Er 3.41
Ce1 0.0000 0.5000 0.0000  6 Pr 3.48-3.70

Properties
Space group ... C2/m
Total moment ... 1.19 Bohr magnetons per cell
Calculated formation energy ... 0.232 eV per atom

Compound: TbCePr2Er
Source: the Alexandria database
Functional: PBE-GGA
Structure: optimized geometry

Cell lengths 8.1340, 6.8174, 6.1053 Å; angles 90.01, 90.00, 90.00 degrees
Last column: nearest neighbours and their distance in Å.
Atoms (fractional coordinates):
Pr1 0.6894 0.7325 0.7499  1 Pr 3.17, 1 Tb 3.26, 2 Ce 3.47
Pr2 0.3106 0.2675 0.2501  1 Pr 3.17, 1 Tb 3.26, 2 Ce 3.47
Pr3 0.3106 0.7325 0.2499  1 Pr 3.17, 1 Tb 3.26, 2 Ce 3.47
Pr4 0.6894 0.2675 0.7501  1 Pr 3.17, 1 Tb 3.26, 2 Ce 3.47
Er1 0.1234 0.5000 0.7500  2 Er 3.65, 6 Pr 3.76-3.87, 4 Ce 3.87, 2 Tb 3.90
Er2 0.8766 0.5000 0.2500  2 Er 3.65, 6 Pr 3.76-3.87, 4 Ce 3.87, 2 Tb 3.90
Ce1 0.0000 0.0000 0.0000  2 Ce 3.05, 2 Tb 3.28
Ce2 0.0000 0.0000 0.5000  2 Ce 3.05, 2 Tb 3.28
Tb1 0.6429 0.0000 0.2500  6 Pr 3.26-3.58, 2 Ce 3.28
Tb2 0.3571 0.0000 0.7500  6 Pr 3.26-3.58, 2 Ce 3.28

Properties
Space group ... Pmma
Total moment ... 1.15 Bohr magnetons per cell
Calculated formation energy ... 0.277 eV per atom

Compound: Tb3CePrEr
Source: the Alexandria database
Functional: PBE-GGA
Structure: optimized geometry

Cell lengths 5.9101, 6.3201, 11.8074 Å; angles 90.00, 90.00, 117.88 degrees
Last column: nearest neighbours and their distance in Å.
Atoms (fractional coordinates):
Ce1 0.5029 0.0058 0.2500  3 Er 3.50-3.71, 7 Tb 3.50-3.61
Ce2 0.4971 0.9942 0.7500  3 Er 3.50-3.71, 7 Tb 3.50-3.61
Tb1 0.6704 0.3408 0.9971  1 Er 3.42, 4 Tb 3.45-3.81, 2 Ce 3.50-3.52, 3 Pr 3.52-3.68
Tb2 0.3296 0.6592 0.0029  1 Er 3.42, 4 Tb 3.45-3.81, 2 Ce 3.50-3.52, 3 Pr 3.52-3.68
Tb3 0.1744 0.3488 0.7500  2 Er 3.43, 2 Tb 3.45, 2 Pr 3.54, 3 Ce 3.56-3.61
Tb4 0.8256 0.6512 0.2500  2 Er 3.43, 2 Tb 3.45, 2 Pr 3.54, 3 Ce 3.56-3.61
Tb5 0.6704 0.3408 0.5029  1 Er 3.42, 4 Tb 3.45-3.81, 2 Ce 3.50-3.52, 3 Pr 3.52-3.68
Tb6 0.3296 0.6592 0.4971  1 Er 3.42, 4 Tb 3.45-3.81, 2 Ce 3.50-3.52, 3 Pr 3.52-3.68
Er1 0.8295 0.6590 0.7500  4 Tb 3.42-3.43, 3 Ce 3.50-3.71, 2 Pr 3.51
Er2 0.1705 0.3410 0.2500  4 Tb 3.42-3.43, 3 Ce 3.50-3.71, 2 Pr 3.51
Pr1 0.0000 0.0000 0.5000  2 Er 3.51, 8 Tb 3.52-3.68
Pr2 0.0000 0.0000 0.0000  2 Er 3.51, 8 Tb 3.52-3.68

Properties
Space group ... Cmcm
Total moment ... 2.74 Bohr magnetons per cell
Calculated formation energy ... 0.153 eV per atom

Compound: TbCePr2Er5
Source: the Alexandria database
Functional: PBE-GGA
Structure: optimized geometry

Cell lengths 8.5839, 8.5839, 9.8930 Å; angles 115.71, 115.71, 90.00 degrees
Last column: nearest neighbours and their distance in Å.
Atoms (fractional coordinates):
Er1 0.5649 0.6522 0.7171  1 Ce 3.03, 1 Pr 3.05
Er2 0.5000 0.5000 0.0000  4 Pr 3.42, 8 Er 3.79
Er3 0.4351 0.3478 0.2829  1 Ce 3.03, 1 Pr 3.05
Er4 0.3478 0.8478 0.2829  1 Ce 3.03, 1 Pr 3.05
Er5 0.0000 0.0000 0.0000  4 Pr 3.42, 8 Er 3.79
Er6 0.6522 0.1522 0.7171  1 Ce 3.03, 1 Pr 3.05
Er7 0.0649 0.5649 0.7171  1 Ce 3.03, 1 Pr 3.05
Er8 0.1522 0.0649 0.7171  1 Ce 3.03, 1 Pr 3.05
Er9 0.9351 0.4351 0.2829  1 Ce 3.03, 1 Pr 3.05
Er10 0.8478 0.9351 0.2829  1 Ce 3.03, 1 Pr 3.05
Pr1 0.6204 0.1204 0.0000  1 Pr 2.92, 2 Er 3.05
Pr2 0.8796 0.6204 0.0000  1 Pr 2.92, 2 Er 3.05
Pr3 0.1204 0.3796 0.0000  1 Pr 2.92, 2 Er 3.05
Pr4 0.3796 0.8796 0.0000  1 Pr 2.92, 2 Er 3.05
Tb1 0.2500 0.2500 0.5000  10 Er 3.52-3.91
Tb2 0.7500 0.7500 0.5000  10 Er 3.52-3.91
Ce1 0.2500 0.7500 0.5000  4 Er 3.03
Ce2 0.7500 0.2500 0.5000  4 Er 3.03

Properties
Space group ... I4/mcm
Total moment ... 2.02 Bohr magnetons per cell
Calculated formation energy ... 0.272 eV per atom

Compound: TbCePrEr
Source: the Alexandria database
Functional: PBE-GGA
Structure: optimized geometry

Cell lengths 5.6996, 5.6996, 5.6996 Å; angles 60.00, 60.00, 60.00 degrees
Last column: nearest neighbours and their distance in Å.
Atoms (fractional coordinates):
Tb1 0.0000 0.0000 0.0000  4 Pr 3.49, 4 Ce 3.49
Ce1 0.7500 0.7500 0.7500  4 Er 3.49, 4 Tb 3.49
Er1 0.5000 0.5000 0.5000  4 Ce 3.49, 4 Pr 3.49
Pr1 0.2500 0.2500 0.2500  4 Er 3.49, 4 Tb 3.49

Properties
Space group ... F-43m
Total moment ... 0.81 Bohr magnetons per cell
Calculated formation energy ... 0.167 eV per atom

Compound: Tb5CePrEr2
Source: the Alexandria database
Functional: PBE-GGA
Structure: optimized geometry

Cell lengths 5.7110, 11.1467, 9.6104 Å; angles 90.00, 90.00, 104.84 degrees
Last column: nearest neighbours and their distance in Å.
Atoms (fractional coordinates):
Pr1 0.4031 0.8062 0.4223  2 Tb 3.07-3.20
Pr2 0.5969 0.1938 0.9223  2 Tb 3.07-3.20
Er1 0.1133 0.2266 0.3227  8 Tb 3.28-3.54, 1 Ce 3.37
Er2 0.8867 0.7734 0.8227  8 Tb 3.28-3.54, 1 Ce 3.37
Er3 0.1376 0.2752 0.7040  1 Ce 3.32, 4 Tb 3.33-3.70, 2 Pr 3.65, 1 Er 3.70
Er4 0.8624 0.7248 0.2040  1 Ce 3.32, 4 Tb 3.33-3.70, 2 Pr 3.65, 1 Er 3.70
Ce1 0.1952 0.3904 0.0241  2 Er 3.32-3.37, 5 Tb 3.35-3.49, 2 Pr 3.69
Ce2 0.8048 0.6096 0.5241  2 Er 3.32-3.37, 5 Tb 3.35-3.49, 2 Pr 3.69
Tb1 0.7335 0.4671 0.8333  1 Pr 3.07, 1 Er 3.30, 1 Ce 3.35
Tb2 0.5292 0.0583 0.2460  2 Pr 3.20-3.44, 3 Tb 3.28-3.56, 2 Er 3.46
Tb3 0.2665 0.5329 0.3333  1 Pr 3.07, 1 Er 3.30, 1 Ce 3.35
Tb4 0.3935 0.7870 0.0397  3 Tb 3.28-3.64, 4 Er 3.33-3.54
Tb5 0.6940 0.3879 0.2163  3 Ce 3.40-3.80, 5 Tb 3.44-3.78, 3 Er 3.50-3.63, 1 Pr 3.52
Tb6 0.3060 0.6121 0.7163  3 Ce 3.40-3.80, 5 Tb 3.44-3.78, 3 Er 3.50-3.63, 1 Pr 3.52
Tb7 0.4708 0.9417 0.7460  2 Pr 3.20-3.44, 3 Tb 3.28-3.56, 2 Er 3.46
Tb8 0.9879 0.9759 0.5156  1 Er 3.28, 2 Pr 3.51, 2 Tb 3.63
Tb9 0.6065 0.2130 0.5397  3 Tb 3.28-3.64, 4 Er 3.33-3.54
Tb10 0.0121 0.0241 0.0156  1 Er 3.28, 2 Pr 3.51, 2 Tb 3.63

Properties
Space group ... Cmc2_1
Total moment ... 1.72 Bohr magnetons per cell
Calculated formation energy ... 0.176 eV per atom

Compound: Tb2CePrEr4
Source: the Alexandria database
Functional: PBE-GGA
Structure: optimized geometry

Cell lengths 5.0525, 5.0369, 11.1350 Å; angles 63.12, 90.00, 90.00 degrees
Last column: nearest neighbours and their distance in Å.
Atoms (fractional coordinates):
Pr1 0.5000 0.5000 0.0000  8 Er 3.56-3.57, 4 Tb 3.57
Tb1 0.0000 0.0000 0.0000  8 Er 3.56-3.57, 4 Pr 3.57
Tb2 0.5000 0.0000 0.5000  8 Er 3.50-3.51, 4 Ce 3.57
Er1 0.0000 0.7546 0.7459  2 Ce 3.51, 4 Tb 3.51-3.57, 4 Er 3.57, 2 Pr 3.57
Er2 0.5000 0.7449 0.2543  4 Tb 3.50-3.57, 2 Ce 3.51, 2 Pr 3.56-3.57, 4 Er 3.57
Er3 0.5000 0.2551 0.7457  4 Tb 3.50-3.57, 2 Ce 3.51, 2 Pr 3.56-3.57, 4 Er 3.57
Er4 0.0000 0.2454 0.2541  2 Ce 3.51, 4 Tb 3.51-3.57, 4 Er 3.57, 2 Pr 3.57
Ce1 0.0000 0.5000 0.5000  8 Er 3.51, 4 Tb 3.57

Properties
Space group ... Pmmm
Total moment ... 0.99 Bohr magnetons per cell
Calculated formation energy ... 0.048 eV per atom

| no. | E (eV/atom) |
| --- | --- |
| 1 | -4.50 |
| 2 | -4.80 |
| 3 | -4.66 |
| 4 | -4.76 |
| 5 | -4.83 |
| 6 | -4.60 |
| 7 | -4.66 |
| 8 | -4.71 |
| 9 | -4.50 |
| 10 | -4.81 |
| 11 | -4.60 |
| 12 | -4.73 |